## A
The following is a DFT calculation (GGA-PBE) of a relaxed K2Si4O9 crystal.

Structure (POSCAR):
```
K2Si4O9
1.0
5.022 0.000 0.000
0.195 8.541 0.000
0.074 4.185 11.680
K Si O
4 8 18
Direct
0.235 0.433 0.135
0.253 0.900 0.655
0.747 0.100 0.345
0.765 0.567 0.865
0.211 0.940 0.146
0.215 0.702 0.401
0.277 0.317 0.447
0.290 0.833 0.937
0.710 0.167 0.063
0.723 0.683 0.553
0.785 0.298 0.599
0.789 0.060 0.854
0.087 0.258 0.564
0.097 0.992 0.860
0.233 0.220 0.361
0.235 0.521 0.385
0.244 0.810 0.075
0.250 0.667 0.910
0.289 0.843 0.280
0.402 0.099 0.095
0.415 0.717 0.500
0.585 0.283 0.500
0.598 0.901 0.905
0.711 0.157 0.720
0.750 0.333 0.090
0.756 0.190 0.925
0.765 0.479 0.615
0.767 0.780 0.639
0.903 0.008 0.140
0.913 0.742 0.436
```

Computed properties:
- size of the total moment (μB per formula unit) = 0.138
- calculated density (Mg/m³) = 2.2

=====

## B
The following is a DFT calculation (GGA-PBE) of a relaxed K2Si4O9 crystal.

Structure (POSCAR):
```
K2Si4O9
1.0
6.704 0.000 0.000
-3.352 5.806 0.000
0.000 0.000 9.634
K Si O
4 8 18
Direct
0.333 0.667 0.059
0.333 0.667 0.441
0.667 0.333 0.559
0.667 0.333 0.941
0.000 0.000 0.000
0.000 0.000 0.500
0.134 0.366 0.750
0.232 0.866 0.750
0.366 0.232 0.250
0.634 0.768 0.750
0.768 0.134 0.250
0.866 0.634 0.250
0.026 0.233 0.606
0.026 0.233 0.894
0.073 0.580 0.750
0.207 0.974 0.606
0.207 0.974 0.894
0.233 0.207 0.106
0.233 0.207 0.394
0.420 0.493 0.750
0.493 0.073 0.250
0.507 0.927 0.750
0.580 0.507 0.250
0.767 0.793 0.606
0.767 0.793 0.894
0.793 0.026 0.106
0.793 0.026 0.394
0.927 0.420 0.250
0.974 0.767 0.106
0.974 0.767 0.394
```

Computed properties:
- size of the total moment (μB per formula unit) = 0.000
- calculated density (Mg/m³) = 3.0

=====

Which structure is the least stable? The one labeled B.

=====

## A
The following is a DFT calculation (GGA-PBE) of a relaxed K4SiO4 crystal.

Structure (POSCAR):
```
K4SiO4
1.0
7.318 0.000 0.000
0.000 7.318 0.000
0.000 0.000 5.899
K Si O
8 2 8
Direct
0.033 0.250 0.130
0.250 0.033 0.630
0.250 0.467 0.630
0.467 0.250 0.130
0.533 0.750 0.870
0.750 0.533 0.370
0.750 0.967 0.370
0.967 0.750 0.870
0.250 0.750 0.250
0.750 0.250 0.750
0.063 0.750 0.414
0.250 0.563 0.086
0.250 0.937 0.086
0.437 0.750 0.414
0.563 0.250 0.586
0.750 0.063 0.914
0.750 0.437 0.914
0.937 0.250 0.586
```

Computed properties:
- size of the total moment (μB per formula unit) = 0.000
- calculated density (Mg/m³) = 2.6

=====

## B
The following is a DFT calculation (GGA-PBE) of a relaxed K4SiO4 crystal.

Structure (POSCAR):
```
K4SiO4
1.0
-4.110 4.110 2.572
4.110 -4.110 2.572
4.110 4.110 -2.572
K Si O
4 1 4
Direct
0.121 0.703 0.823
0.297 0.121 0.418
0.703 0.879 0.582
0.879 0.297 0.177
0.500 0.500 0.000
0.297 0.441 0.737
0.441 0.703 0.144
0.559 0.297 0.856
0.703 0.559 0.263
```

Computed properties:
- size of the total moment (μB per formula unit) = 0.000
- calculated density (Mg/m³) = 2.4

=====

Which structure is the least stable? The one labeled B.

=====

## A
The following is a DFT calculation (GGA-PBE) of a relaxed K2ZnSiO4 crystal.

Structure (POSCAR):
```
K2ZnSiO4
1.0
0.000 5.774 10.005
2.509 0.000 10.005
2.509 5.774 0.000
K Zn Si O
4 2 2 8
Direct
0.051 0.051 0.699
0.301 0.301 0.949
0.699 0.699 0.051
0.949 0.949 0.301
0.125 0.125 0.125
0.875 0.875 0.875
0.375 0.375 0.375
0.625 0.625 0.625
0.042 0.619 0.540
0.299 0.540 0.619
0.381 0.958 0.701
0.460 0.701 0.958
0.540 0.299 0.042
0.619 0.042 0.299
0.701 0.460 0.381
0.958 0.381 0.460
```

Computed properties:
- size of the total moment (μB per formula unit) = 0.000
- calculated density (Mg/m³) = 2.7

=====

## B
The following is a DFT calculation (GGA-PBE) of a relaxed K2ZnSiO4 crystal.

Structure (POSCAR):
```
K2ZnSiO4
1.0
11.050 0.000 0.000
0.000 5.507 0.000
0.000 0.000 15.783
K Zn Si O
16 8 8 32
Direct
0.013 0.007 0.000
0.013 0.507 0.377
0.234 0.548 0.753
0.239 0.045 0.621
0.261 0.045 0.121
0.266 0.548 0.253
0.487 0.007 0.500
0.487 0.507 0.877
0.513 0.493 0.377
0.513 0.993 0.000
0.734 0.452 0.753
0.739 0.955 0.621
0.761 0.955 0.121
0.766 0.452 0.253
0.987 0.493 0.877
0.987 0.993 0.500
0.010 0.510 0.127
0.241 0.031 0.875
0.259 0.031 0.375
0.490 0.510 0.627
0.510 0.490 0.127
0.741 0.969 0.875
0.759 0.969 0.375
0.990 0.490 0.627
0.008 0.013 0.250
0.235 0.527 0.503
0.265 0.527 0.003
0.492 0.013 0.750
0.508 0.987 0.250
0.735 0.473 0.503
0.765 0.473 0.003
0.992 0.987 0.750
0.011 0.278 0.728
0.023 0.829 0.663
0.083 0.913 0.829
0.106 0.404 0.536
0.150 0.076 0.277
0.177 0.567 0.087
0.202 0.341 0.934
0.203 0.791 0.459
0.297 0.791 0.959
0.298 0.341 0.434
0.323 0.567 0.587
0.350 0.076 0.777
0.394 0.404 0.036
0.417 0.913 0.329
0.477 0.829 0.163
0.489 0.278 0.228
0.511 0.722 0.728
0.523 0.171 0.663
0.583 0.087 0.829
0.606 0.596 0.536
0.650 0.924 0.277
0.677 0.433 0.087
0.702 0.659 0.934
0.703 0.209 0.459
0.797 0.209 0.959
0.798 0.659 0.434
0.823 0.433 0.587
0.850 0.924 0.777
0.894 0.596 0.036
0.917 0.087 0.329
0.977 0.171 0.163
0.989 0.722 0.228
```

Computed properties:
- size of the total moment (μB per formula unit) = 0.000
- calculated density (Mg/m³) = 3.3

=====

Which structure is the least stable? The one labeled A.

=====

## A
The following is a DFT calculation (GGA-PBE) of a relaxed K2SnO crystal.

Structure (POSCAR):
```
K2SnO
1.0
0.000 3.926 3.926
3.926 0.000 3.926
3.926 3.926 0.000
K Sn O
2 1 1
Direct
0.250 0.250 0.250
0.750 0.750 0.750
0.000 0.000 0.000
0.500 0.500 0.500
```

Computed properties:
- size of the total moment (μB per formula unit) = 1.955
- calculated density (Mg/m³) = 2.9

=====

## B
The following is a DFT calculation (GGA-PBE) of a relaxed K2SnO crystal.

Structure (POSCAR):
```
K2SnO
1.0
-5.385 5.385 2.323
5.385 -5.385 2.323
5.385 5.385 -2.323
K Sn O
4 2 2
Direct
0.375 0.046 0.171
0.796 0.625 0.671
0.875 0.204 0.829
0.954 0.125 0.329
0.250 0.750 0.500
0.500 0.500 0.000
0.000 0.000 0.000
0.750 0.250 0.500
```

Computed properties:
- size of the total moment (μB per formula unit) = 0.000
- calculated density (Mg/m³) = 2.6

=====

Which structure is the least stable? The one labeled A.

=====

## A
The following is a DFT calculation (GGA-PBE) of a relaxed K2Sn2O3 crystal.

Structure (POSCAR):
```
K2Sn2O3
1.0
3.070 1.773 4.814
-3.070 1.773 4.814
0.000 -3.545 4.814
K Sn O
2 2 3
Direct
0.000 0.000 0.000
0.500 0.500 0.500
0.241 0.241 0.241
0.759 0.759 0.759
0.000 0.000 0.500
0.000 0.500 0.000
0.500 0.000 0.000
```

Computed properties:
- size of the total moment (μB per formula unit) = 0.000
- calculated density (Mg/m³) = 3.8

=====

## B
The following is a DFT calculation (GGA-PBE) of a relaxed K2Sn2O3 crystal.

Structure (POSCAR):
```
K2Sn2O3
1.0
-4.256 4.256 4.256
4.256 -4.256 4.256
4.256 4.256 -4.256
K Sn O
4 4 6
Direct
0.000 0.483 0.500
0.017 0.017 0.017
0.483 0.500 0.000
0.500 0.000 0.483
0.000 0.012 0.500
0.012 0.500 0.000
0.488 0.488 0.488
0.500 0.000 0.012
0.229 0.750 0.979
0.250 0.521 0.271
0.271 0.250 0.521
0.521 0.271 0.250
0.750 0.979 0.229
0.979 0.229 0.750
```

Computed properties:
- size of the total moment (μB per formula unit) = 0.000
- calculated density (Mg/m³) = 3.9

=====

Which structure is the least stable? The one labeled A.

=====

## A
The following is a DFT calculation (GGA-PBE) of a relaxed KSrO crystal.

Structure (POSCAR):
```
KSrO
1.0
3.867 0.000 0.000
-1.933 3.349 0.000
0.000 0.000 7.098
K Sr O
1 1 1
Direct
0.000 0.000 0.000
0.667 0.333 0.588
0.333 0.667 0.727
```

Computed properties:
- size of the total moment (μB per formula unit) = 0.000
- calculated density (Mg/m³) = 2.6

=====

## B
The following is a DFT calculation (GGA-PBE) of a relaxed KSrO crystal.

Structure (POSCAR):
```
KSrO
1.0
7.422 0.000 0.000
0.000 9.501 0.000
0.000 0.000 6.616
K Sr O
4 4 4
Direct
0.023 0.161 0.000
0.477 0.161 0.500
0.523 0.839 0.000
0.977 0.839 0.500
0.100 0.583 0.057
0.400 0.583 0.557
0.600 0.417 0.057
0.900 0.417 0.557
0.105 0.584 0.417
0.395 0.584 0.917
0.605 0.416 0.417
0.895 0.416 0.917
```

Computed properties:
- size of the total moment (μB per formula unit) = 0.000
- calculated density (Mg/m³) = 2.0

=====

Which structure is the least stable? The one labeled A.

=====

## A
The following is a DFT calculation (GGA-PBE) of a relaxed KSr3O crystal.

Structure (POSCAR):
```
KSr3O
1.0
5.648 0.000 0.000
0.000 5.648 0.000
0.000 0.000 5.648
K Sr O
1 3 1
Direct
0.000 0.000 0.000
0.000 0.500 0.500
0.500 0.000 0.500
0.500 0.500 0.000
0.500 0.500 0.500
```

Computed properties:
- size of the total moment (μB per formula unit) = 0.000
- calculated density (Mg/m³) = 2.9

=====

## B
The following is a DFT calculation (GGA-PBE) of a relaxed KSr3O crystal.

Structure (POSCAR):
```
KSr3O
1.0
7.210 0.000 0.000
0.000 7.210 0.000
0.000 0.000 7.210
K Sr O
1 3 1
Direct
0.000 0.000 0.000
0.000 0.000 0.500
0.000 0.500 0.000
0.500 0.000 0.000
0.500 0.500 0.500
```

Computed properties:
- size of the total moment (μB per formula unit) = 0.879
- calculated density (Mg/m³) = 1.4

=====

Which structure is the least stable? The one labeled B.